(1)
# VNi4Pt4 | Alexandria via LeMat-Bulk | PBE | relaxed
# ΔE_f: -233 meV/atom
# VASP energy: -6.5001 eV per atom
# M_tot: 0.9 Bohr magnetons per cell
data_VNi4Pt4
_cell_length_a 4.575
_cell_length_b 4.632
_cell_length_c 5.990
_cell_angle_alpha 82.74
_cell_angle_beta 74.85
_cell_angle_gamma 79.30
_symmetry_space_group_name_H-M 'P 1'
_symmetry_Int_Tables_number 1
loop_
_symmetry_equiv_pos_as_xyz
'x,y,z'
loop_
_atom_site_label
_atom_site_fract_x
_atom_site_fract_y
_atom_site_fract_z
V1 0.000 0.000 0.000
Ni1 0.107 0.227 0.558
Ni2 0.223 0.462 0.112
Ni3 0.326 0.682 0.667
Ni4 0.884 0.774 0.447
Pt1 0.421 0.899 0.233
Pt2 0.537 0.121 0.777
Pt3 0.681 0.331 0.334
Pt4 0.798 0.557 0.884

(2)
# VNi3Pt3 | Alexandria via LeMat-Bulk | PBE | relaxed
# ΔE to the lowest computed polymorph: 221.0 meV per atom
# ΔE_f: -64 meV/atom
# VASP energy: -6.4332 eV per atom
# M_tot: 1.0 Bohr magnetons per cell
data_VNi3Pt3
_cell_length_a 7.302
_cell_length_b 7.302
_cell_length_c 7.302
_cell_angle_alpha 90.00
_cell_angle_beta 90.00
_cell_angle_gamma 90.00
_symmetry_space_group_name_H-M 'P 21 3'
_symmetry_Int_Tables_number 198
_symmetry_space_group_name_Hall 'P 2ac 2ab 3'
loop_
_atom_site_label
_atom_site_fract_x
_atom_site_fract_y
_atom_site_fract_z
V1 0.029 0.471 0.529
Ni1 0.148 0.648 0.852
Ni2 0.152 0.848 0.348
Ni3 0.166 0.166 0.166
Pt1 0.044 0.319 0.867

(3)
# VNi2Pt | Alexandria via LeMat-Bulk | PBE | relaxed
# ΔE_f: -111 meV/atom
# VASP energy: -6.7918 eV per atom
# M_tot: 0.0 Bohr magnetons per cell
data_VNi2Pt
_cell_length_a 4.368
_cell_length_b 9.295
_cell_length_c 5.129
_cell_angle_alpha 90.00
_cell_angle_beta 90.00
_cell_angle_gamma 90.00
_symmetry_space_group_name_H-M 'C m c m'
_symmetry_Int_Tables_number 63
_symmetry_space_group_name_Hall '-C 2c 2'
loop_
_atom_site_label
_atom_site_fract_x
_atom_site_fract_y
_atom_site_fract_z
V1 0.000 0.179 0.250
Ni1 0.000 0.376 0.522
Pt1 0.000 0.096 0.750

(4)
# V4Ni12Pt | Alexandria via LeMat-Bulk | PBE | relaxed
# ΔE_f: 112 meV/atom
# VASP energy: -6.4700 eV per atom
# M_tot: 11.0 Bohr magnetons per cell
data_V4Ni12Pt
_cell_length_a 7.497
_cell_length_b 7.497
_cell_length_c 7.497
_cell_angle_alpha 90.00
_cell_angle_beta 90.00
_cell_angle_gamma 90.00
_symmetry_space_group_name_H-M 'I m -3 m'
_symmetry_Int_Tables_number 229
_symmetry_space_group_name_Hall '-I 4 2 3'
loop_
_atom_site_label
_atom_site_fract_x
_atom_site_fract_y
_atom_site_fract_z
V1 0.250 0.250 0.250
Ni1 0.000 0.000 0.314
Ni2 0.000 0.250 0.500
Pt1 0.000 0.000 0.000

(5)
# V2Ni9Pt | Alexandria via LeMat-Bulk | PBE | relaxed
# ΔE_f: -179 meV/atom
# VASP energy: -6.5379 eV per atom
# M_tot: 0.0 Bohr magnetons per cell
data_V2Ni9Pt
_cell_length_a 3.592
_cell_length_b 3.592
_cell_length_c 10.746
_cell_angle_alpha 90.00
_cell_angle_beta 90.00
_cell_angle_gamma 90.00
_symmetry_space_group_name_H-M 'P 4/m m m'
_symmetry_Int_Tables_number 123
_symmetry_space_group_name_Hall '-P 4 2'
loop_
_atom_site_label
_atom_site_fract_x
_atom_site_fract_y
_atom_site_fract_z
V1 0.000 0.000 0.169
Ni1 0.000 0.500 0.000
Ni2 0.000 0.500 0.322
Ni3 0.500 0.500 0.161
Ni4 0.500 0.500 0.500
Pt1 0.000 0.000 0.500

(6)
# VNi3Pt | Alexandria via LeMat-Bulk | PBE | relaxed
# ΔE to the lowest computed polymorph: 1223.0 meV per atom
# ΔE_f: 956 meV/atom
# VASP energy: -5.5450 eV per atom
# M_tot: 0.0 Bohr magnetons per cell
data_VNi3Pt
_cell_length_a 4.189
_cell_length_b 4.189
_cell_length_c 4.189
_cell_angle_alpha 90.00
_cell_angle_beta 90.00
_cell_angle_gamma 90.00
_symmetry_space_group_name_H-M 'P m -3 m'
_symmetry_Int_Tables_number 221
_symmetry_space_group_name_Hall '-P 4 2 3'
loop_
_atom_site_label
_atom_site_fract_x
_atom_site_fract_y
_atom_site_fract_z
V1 0.000 0.000 0.000
Ni1 0.000 0.000 0.500
Pt1 0.500 0.500 0.500

(7)
# VNiPt3 | Alexandria via LeMat-Bulk | PBE | relaxed
# ΔE to the lowest computed polymorph: 312.4 meV per atom
# ΔE_f: -68 meV/atom
# VASP energy: -6.6724 eV per atom
# M_tot: 0.2 Bohr magnetons per cell
data_VNiPt3
_cell_length_a 4.131
_cell_length_b 5.371
_cell_length_c 7.028
_cell_angle_alpha 90.00
_cell_angle_beta 90.00
_cell_angle_gamma 90.00
_symmetry_space_group_name_H-M 'P m m n'
_symmetry_Int_Tables_number 59
loop_
_symmetry_equiv_pos_as_xyz
'x,y,z'
'-x,-y,-z'
'-x+1/2,-y+1/2,z'
'x+1/2,y+1/2,-z'
'x+1/2,-y,-z'
'-x+1/2,y,z'
'-x,y+1/2,-z'
'x,-y+1/2,z'
loop_
_atom_site_label
_atom_site_fract_x
_atom_site_fract_y
_atom_site_fract_z
V1 0.250 0.250 0.169
Ni1 0.250 0.750 0.429
Pt1 0.250 0.003 0.727
Pt2 0.250 0.750 0.067

(8)
# V3Ni3Pt5 | Alexandria via LeMat-Bulk | PBE | relaxed
# ΔE_f: -55 meV/atom
# VASP energy: -6.8645 eV per atom
# M_tot: 0.0 Bohr magnetons per cell
data_V3Ni3Pt5
_cell_length_a 8.3058
_cell_length_b 8.3058
_cell_length_c 2.6887
_cell_angle_alpha 90.00
_cell_angle_beta 90.00
_cell_angle_gamma 120.00
_symmetry_space_group_name_H-M 'P -6 2 m'
_symmetry_Int_Tables_number 189
_symmetry_space_group_name_Hall 'P -6 -2'
loop_
_atom_site_label
_atom_site_fract_x
_atom_site_fract_y
_atom_site_fract_z
V1 0.0000 0.3969 0.0000
Ni1 0.0000 0.1622 0.5000
Pt1 0.0000 0.6597 0.5000
Pt2 0.3333 0.6667 0.5000

(9)
# VNi6Pt5 | Alexandria via LeMat-Bulk | PBE | relaxed
# ΔE_f: -185 meV/atom
# VASP energy: -6.3522 eV per atom
# M_tot: 2.6 Bohr magnetons per cell
data_VNi6Pt5
_cell_length_a 3.793
_cell_length_b 7.250
_cell_length_c 11.449
_cell_angle_alpha 90.00
_cell_angle_beta 90.00
_cell_angle_gamma 90.00
_symmetry_space_group_name_H-M 'I m m m'
_symmetry_Int_Tables_number 71
_symmetry_space_group_name_Hall '-I 2 2'
loop_
_atom_site_label
_atom_site_fract_x
_atom_site_fract_y
_atom_site_fract_z
V1 0.000 0.000 0.000
Ni1 0.000 0.247 0.164
Ni2 0.000 0.255 0.500
Pt1 0.000 0.000 0.334
Pt2 0.000 0.500 0.000
Pt3 0.000 0.500 0.341

(10)
# V2NiPt4 | Alexandria via LeMat-Bulk | PBE | relaxed
# ΔE to the lowest computed polymorph: 0.0 meV per atom
# ΔE_f: -270 meV/atom
# VASP energy: -7.1535 eV per atom
# M_tot: 4.9 Bohr magnetons per cell
data_V2NiPt4
_cell_length_a 7.010
_cell_length_b 7.824
_cell_length_c 3.888
_cell_angle_alpha 90.00
_cell_angle_beta 90.00
_cell_angle_gamma 90.00
_symmetry_space_group_name_H-M 'C m m m'
_symmetry_Int_Tables_number 65
_symmetry_space_group_name_Hall '-C 2 2'
loop_
_atom_site_label
_atom_site_fract_x
_atom_site_fract_y
_atom_site_fract_z
V1 0.000 0.220 0.000
Ni1 0.000 0.000 0.500
Pt1 0.208 0.500 0.000
Pt2 0.250 0.250 0.500

(11)
# V4Ni2Pt | Alexandria via LeMat-Bulk | PBE | relaxed
# ΔE_f: 904 meV/atom
# VASP energy: -6.8211 eV per atom
# M_tot: 5.6 Bohr magnetons per cell
data_V4Ni2Pt
_cell_length_a 4.650
_cell_length_b 4.650
_cell_length_c 11.846
_cell_angle_alpha 90.00
_cell_angle_beta 90.00
_cell_angle_gamma 90.00
_symmetry_space_group_name_H-M 'I 4/m m m'
_symmetry_Int_Tables_number 139
_symmetry_space_group_name_Hall '-I 4 2'
loop_
_atom_site_label
_atom_site_fract_x
_atom_site_fract_y
_atom_site_fract_z
V1 0.000 0.000 0.209
V2 0.000 0.500 0.000
Ni1 0.000 0.000 0.401
Pt1 0.000 0.000 0.000

(12)
# VNi3Pt3 | Alexandria via LeMat-Bulk | PBE | relaxed
# ΔE to the lowest computed polymorph: 0.0 meV per atom
# ΔE_f: -285 meV/atom
# VASP energy: -6.6543 eV per atom
# M_tot: 2.2 Bohr magnetons per cell
data_VNi3Pt3
_cell_length_a 7.0680
_cell_length_b 7.0680
_cell_length_c 4.3023
_cell_angle_alpha 90.00
_cell_angle_beta 90.00
_cell_angle_gamma 120.00
_symmetry_space_group_name_H-M 'P 63/m'
_symmetry_Int_Tables_number 176
_symmetry_space_group_name_Hall '-P 6c'
loop_
_atom_site_label
_atom_site_fract_x
_atom_site_fract_y
_atom_site_fract_z
V1 0.3333 0.6667 0.2500
Ni1 0.0458 0.2274 0.2500
Pt1 0.0881 0.4570 0.7500

(13)
# V6NiPt10 | Alexandria via LeMat-Bulk | PBE | relaxed
# ΔE_f: -301 meV/atom
# VASP energy: -7.4125 eV per atom
# M_tot: 6.0 Bohr magnetons per cell
data_V6NiPt10
_cell_length_a 7.4555
_cell_length_b 7.4555
_cell_length_c 5.3439
_cell_angle_alpha 90.00
_cell_angle_beta 90.00
_cell_angle_gamma 120.00
_symmetry_space_group_name_H-M 'P -3 1 m'
_symmetry_Int_Tables_number 162
_symmetry_space_group_name_Hall '-P 3 2'
loop_
_atom_site_label
_atom_site_fract_x
_atom_site_fract_y
_atom_site_fract_z
V1 0.0000 0.3670 0.3056
Ni1 0.0000 0.0000 0.5000
Pt1 0.0000 0.2795 0.8126
Pt2 0.3333 0.6667 0.0000
Pt3 0.3333 0.6667 0.5000

(14)
# VNi2Pt5 | Alexandria via LeMat-Bulk | PBE | relaxed
# ΔE_f: -279 meV/atom
# VASP energy: -6.6399 eV per atom
# M_tot: 1.0 Bohr magnetons per cell
data_VNi2Pt5
_cell_length_a 5.450
_cell_length_b 10.922
_cell_length_c 3.831
_cell_angle_alpha 90.00
_cell_angle_beta 90.00
_cell_angle_gamma 90.00
_symmetry_space_group_name_H-M 'P b a m'
_symmetry_Int_Tables_number 55
loop_
_symmetry_equiv_pos_as_xyz
'x,y,z'
'-x,-y,-z'
'-x,-y,z'
'x,y,-z'
'x+1/2,-y+1/2,-z'
'-x+1/2,y+1/2,z'
'-x+1/2,y+1/2,-z'
'x+1/2,-y+1/2,z'
loop_
_atom_site_label
_atom_site_fract_x
_atom_site_fract_y
_atom_site_fract_z
V1 0.000 0.000 0.000
Ni1 0.246 0.377 0.500
Pt1 0.000 0.500 0.000
Pt2 0.014 0.759 0.000
Pt3 0.238 0.117 0.500

(15)
# VNi2Pt | Alexandria via LeMat-Bulk | PBE | relaxed
# ΔE_f: -200 meV/atom
# VASP energy: -6.8807 eV per atom
# M_tot: 2.9 Bohr magnetons per cell
data_VNi2Pt
_cell_length_a 5.877
_cell_length_b 5.877
_cell_length_c 5.877
_cell_angle_alpha 90.00
_cell_angle_beta 90.00
_cell_angle_gamma 90.00
_symmetry_space_group_name_H-M 'F m -3 m'
_symmetry_Int_Tables_number 225
_symmetry_space_group_name_Hall '-F 4 2 3'
loop_
_atom_site_label
_atom_site_fract_x
_atom_site_fract_y
_atom_site_fract_z
V1 0.000 0.000 0.000
Ni1 0.250 0.250 0.250
Pt1 0.000 0.000 0.500

(16)
# VNi2Pt8 | Alexandria via LeMat-Bulk | PBE | relaxed
# ΔE to the lowest computed polymorph: 331.7 meV per atom
# ΔE_f: 107 meV/atom
# VASP energy: -6.1669 eV per atom
# M_tot: 2.2 Bohr magnetons per cell
data_VNi2Pt8
_cell_length_a 11.474
_cell_length_b 7.026
_cell_length_c 4.558
_cell_angle_alpha 90.00
_cell_angle_beta 104.46
_cell_angle_gamma 90.00
_symmetry_space_group_name_H-M 'C 1 2/m 1'
_symmetry_Int_Tables_number 12
loop_
_symmetry_equiv_pos_as_xyz
'x,y,z'
'-x,-y,-z'
'-x,y,-z'
'x,-y,z'
'x+1/2,y+1/2,z'
'-x+1/2,-y+1/2,-z'
'-x+1/2,y+1/2,-z'
'x+1/2,-y+1/2,z'
loop_
_atom_site_label
_atom_site_fract_x
_atom_site_fract_y
_atom_site_fract_z
V1 0.000 0.000 0.000
Ni1 0.114 0.000 0.507
Pt1 0.071 0.300 0.797
Pt2 0.148 0.500 0.345
Pt3 0.221 0.000 0.072

(17)
# VNi2Pt8 | Alexandria via LeMat-Bulk | PBE | relaxed
# ΔE to the lowest computed polymorph: 0.0 meV per atom
# ΔE_f: -225 meV/atom
# VASP energy: -6.4986 eV per atom
# M_tot: 2.9 Bohr magnetons per cell
data_VNi2Pt8
_cell_length_a 13.933
_cell_length_b 3.910
_cell_length_c 6.171
_cell_angle_alpha 90.00
_cell_angle_beta 106.25
_cell_angle_gamma 90.00
_symmetry_space_group_name_H-M 'C 1 2/m 1'
_symmetry_Int_Tables_number 12
loop_
_symmetry_equiv_pos_as_xyz
'x,y,z'
'-x,-y,-z'
'-x,y,-z'
'x,-y,z'
'x+1/2,y+1/2,z'
'-x+1/2,-y+1/2,-z'
'-x+1/2,y+1/2,-z'
'x+1/2,-y+1/2,z'
loop_
_atom_site_label
_atom_site_fract_x
_atom_site_fract_y
_atom_site_fract_z
V1 0.000 0.000 0.000
Ni1 0.225 0.500 0.631
Pt1 0.046 0.500 0.730
Pt2 0.096 0.000 0.448
Pt3 0.136 0.500 0.184
Pt4 0.181 0.000 0.915

(18)
# V2NiPt6 | Alexandria via LeMat-Bulk | PBE | relaxed
# ΔE_f: -431 meV/atom
# VASP energy: -7.1273 eV per atom
# M_tot: 8.2 Bohr magnetons per cell
data_V2NiPt6
_cell_length_a 3.904
_cell_length_b 11.540
_cell_length_c 11.709
_cell_angle_alpha 90.00
_cell_angle_beta 90.00
_cell_angle_gamma 90.00
_symmetry_space_group_name_H-M 'F m m m'
_symmetry_Int_Tables_number 69
_symmetry_space_group_name_Hall '-F 2 2'
loop_
_atom_site_label
_atom_site_fract_x
_atom_site_fract_y
_atom_site_fract_z
V1 0.000 0.000 0.159
Ni1 0.000 0.000 0.500
Pt1 0.000 0.153 0.332
Pt2 0.000 0.159 0.000

(19)
# VNi3Pt | Alexandria via LeMat-Bulk | PBE | relaxed
# ΔE to the lowest computed polymorph: 0.0 meV per atom
# ΔE_f: -267 meV/atom
# VASP energy: -6.7680 eV per atom
# M_tot: 0.0 Bohr magnetons per cell
data_VNi3Pt
_cell_length_a 8.150
_cell_length_b 3.625
_cell_length_c 5.794
_cell_angle_alpha 90.00
_cell_angle_beta 134.38
_cell_angle_gamma 90.00
_symmetry_space_group_name_H-M 'C 1 m 1'
_symmetry_Int_Tables_number 8
loop_
_symmetry_equiv_pos_as_xyz
'x,y,z'
'x,-y,z'
'x+1/2,y+1/2,z'
'x+1/2,-y+1/2,z'
loop_
_atom_site_label
_atom_site_fract_x
_atom_site_fract_y
_atom_site_fract_z
V1 0.000 0.000 0.000
Ni1 0.112 0.500 0.805
Ni2 0.207 0.000 0.612
Ni3 0.400 0.000 0.189
Pt1 0.303 0.500 0.401

(20)
# VNi6Pt12 | Alexandria via LeMat-Bulk | PBE | relaxed
# ΔE_f: 98 meV/atom
# VASP energy: -6.0228 eV per atom
# M_tot: 14.0 Bohr magnetons per cell
data_VNi6Pt12
_cell_length_a 10.7002
_cell_length_b 10.7002
_cell_length_c 8.8018
_cell_angle_alpha 90.00
_cell_angle_beta 90.00
_cell_angle_gamma 120.00
_symmetry_space_group_name_H-M 'R -3'
_symmetry_Int_Tables_number 148
_symmetry_space_group_name_Hall '-R 3'
loop_
_atom_site_label
_atom_site_fract_x
_atom_site_fract_y
_atom_site_fract_z
V1 0.0000 0.0000 0.0000
Ni1 0.0283 0.1409 0.7106
Pt1 0.0612 0.4722 0.1179
Pt2 0.0631 0.4745 0.6226